Entry 1:
Compound: CsBe2Cr
Source: the Alexandria database
Functional: SCAN
Structure: PBEsol geometry

Geometry as extended XYZ:
```
4
Lattice="4.957 0.000 0.000 2.478 4.293 0.000 2.478 1.431 4.047" Properties=species:S:1:pos:R:3 pbc="T T T"
Be 7.435 4.293 3.035
Be 2.478 1.431 1.012
Cs 4.957 2.862 2.024
Cr 0.000 0.000 0.000
```

Values from the calculation:
DFT total energy	-14.6109	eV/atom
ΔH_f (0 K)	6.46	eV per formula unit
crystal system	cubic

---

Entry 2:
Compound: BeCrCu2Ir
Source: the Alexandria database
Functional: SCAN
Structure: PBEsol geometry

Geometry as extended XYZ:
```
5
Lattice="-2.969 2.477 0.486 -0.638 -1.518 3.840 2.630 2.846 1.562" Properties=species:S:1:pos:R:3 pbc="T T T"
Cr 0.000 0.000 0.000
Be -1.485 1.239 0.243
Ir -0.488 1.902 2.944
Cu 1.315 1.423 0.781
Cu -0.319 -0.759 1.920
```

Values from the calculation:
DFT total energy	-23.2249	eV/atom
ΔH_f (0 K)	8.11	eV per formula unit
crystal system	tetragonal

---

Entry 3:
Compound: BeCr2F
Source: the Alexandria database
Functional: SCAN
Structure: PBEsol geometry

Geometry as extended XYZ:
```
8
Lattice="5.167 -0.019 0.000 -1.801 4.842 0.000 -1.683 -2.412 4.248" Properties=species:S:1:pos:R:3 pbc="T T T"
F -0.901 2.421 2.124
F 0.000 0.000 0.000
Cr -0.594 3.104 0.140
Cr 0.306 0.683 1.985
Cr 2.218 2.935 2.264
Cr 1.436 -1.898 4.109
Be 1.683 2.412 0.000
Be 2.583 -0.010 2.124
```

Values from the calculation:
DFT total energy	-11.3075	eV/atom
crystal system	tetragonal
raw formation energy	-142	meV/atom